{"formula": "V2Br3F", "functional": "PBE+U", "state": "optimized geometry", "volume_a3_per_fu": 176.0, "space_group": "No. 12", "final_energy_ev_per_atom": -4.96, "cell": [[9.038, -1.870, 0.000], [9.038, 1.870, 0.000], [-6.896, 0.000, 10.413]], "species": ["V", "V", "V", "V", "Br", "Br", "Br", "Br", "Br", "Br", "F", "F"], "frac_coords": [[0.224, 0.224, 0.109], [0.276, 0.276, 0.651], [0.724, 0.724, 0.349], [0.776, 0.776, 0.891], [0.112, 0.112, 0.188], [0.341, 0.341, 0.502], [0.358, 0.358, 0.076], [0.642, 0.642, 0.924], [0.659, 0.659, 0.498], [0.888, 0.888, 0.812], [0.229, 0.229, 0.774], [0.771, 0.771, 0.226]]}